The following is a PBE calculation of KCa2In2Sn2 after structural relaxation, from Alexandria via LeMat-Bulk.

Cell lengths 10.3511, 10.3511, 10.3511 Å; angles 29.73, 29.73, 29.73 degrees
Closest atoms and distances in Å follow each position.
Fractional positions:
K: 0.0000 0.0000 0.0000  6 Sn 3.95, 2 Ca 4.02
Ca: 0.1355 0.1355 0.1355  3 In 3.17, 4 Sn 3.38-3.43
Ca: 0.8645 0.8645 0.8645  3 In 3.17, 4 Sn 3.38-3.43
In: 0.4421 0.4421 0.4421  3 Sn 3.15, 3 Ca 3.17, 1 In 3.44
In: 0.5579 0.5579 0.5579  3 Sn 3.15, 3 Ca 3.17, 1 In 3.44
Sn: 0.2495 0.2495 0.2495  3 In 3.15, 4 Ca 3.38-3.43
Sn: 0.7505 0.7505 0.7505  3 In 3.15, 4 Ca 3.38-3.43

## Properties
- energy of formation from the pure elements (eV/atom) = -0.296
- DOS(E_F) (states/eV/atom) = 0.348